1.
Density functional theory data (PBE) for KBeZn after structural relaxation.

a b c (Å): 5.2730 5.2730 5.2730
angles (deg): 60.00 60.00 60.00
Last column: nearest neighbours and their distance in Å.
Fractional positions:
K: 0.0000 0.0000 0.0000  4 Be 3.23, 4 Zn 3.23
Be: 0.7500 0.7500 0.7500  4 K 3.23
Zn: 0.2500 0.2500 0.2500  4 K 3.23

Properties
uncorrected energy	-0.86	eV per atom
energy above the most stable polymorph in this dataset	0.290	eV per atom
theoretical density	1.8	g cm⁻³

2.
Density functional theory data (PBE) for KHfAgTeS2 after structural relaxation.

a b c (Å): 8.3588 3.8771 9.9946
angles (deg): 90.00 109.40 90.00
Last column: nearest neighbours and their distance in Å.
Fractional positions:
K: 0.2150 0.2500 0.2298  5 S 3.21-3.41
K: 0.7850 0.7500 0.7702  5 S 3.21-3.41
Hf: 0.3251 0.7500 0.8528  5 S 2.57-2.62
Hf: 0.6749 0.2500 0.1472  5 S 2.57-2.62
Ag: 0.0720 0.2500 0.6078  1 S 2.52
Ag: 0.9280 0.7500 0.3922  1 S 2.52
Te: 0.2922 0.7500 0.5543  3 Ag 2.84-2.94, 1 Hf 2.90
Te: 0.7078 0.2500 0.4457  3 Ag 2.84-2.94, 1 Hf 2.90
S: 0.1271 0.2500 0.8715  1 Ag 2.52, 2 Hf 2.60
S: 0.4561 0.7500 0.1250  3 Hf 2.57-2.62
S: 0.5439 0.2500 0.8750  3 Hf 2.57-2.62
S: 0.8729 0.7500 0.1285  1 Ag 2.52, 2 Hf 2.60

Properties
uncorrected energy	-5.30	eV per atom
total magnetization	0.00	μB/f.u.
energy above the most stable polymorph in this dataset	0.000	eV per atom
theoretical density	5.6	g cm⁻³

3.
Density functional theory data (PBE) for NaNdCdS3 after structural relaxation.

a b c (Å): 12.3337 4.1094 11.7168
angles (deg): 90.00 90.00 90.00
Last column: nearest neighbours and their distance in Å.
Fractional positions:
Na: 0.1262 0.2500 0.0118  5 S 2.88-2.95
Na: 0.3738 0.7500 0.5118  5 S 2.88-2.95
Na: 0.6262 0.2500 0.4882  5 S 2.88-2.95
Na: 0.8738 0.7500 0.9882  5 S 2.88-2.95
Nd: 0.0439 0.2500 0.6692  6 S 2.83-2.91
Nd: 0.4561 0.7500 0.1692  6 S 2.83-2.91
Nd: 0.5439 0.2500 0.8308  6 S 2.83-2.91
Nd: 0.9561 0.7500 0.3308  6 S 2.83-2.91
Cd: 0.2368 0.2500 0.2880  4 S 2.48-2.58
Cd: 0.2632 0.7500 0.7880  4 S 2.48-2.58
Cd: 0.7368 0.2500 0.2120  4 S 2.48-2.58
Cd: 0.7632 0.7500 0.7120  4 S 2.48-2.58
S: 0.0631 0.7500 0.8440  1 Cd 2.55
S: 0.0846 0.2500 0.4262  1 Cd 2.48
S: 0.2259 0.7500 0.1557  2 Cd 2.58, 1 Nd 2.84
S: 0.2741 0.2500 0.6557  2 Cd 2.58, 1 Nd 2.84
S: 0.4154 0.7500 0.9262  1 Cd 2.48
S: 0.4369 0.2500 0.3440  1 Cd 2.55
S: 0.5631 0.7500 0.6560  1 Cd 2.55
S: 0.5846 0.2500 0.0738  1 Cd 2.48
S: 0.7259 0.7500 0.3443  2 Cd 2.58, 1 Nd 2.84
S: 0.7741 0.2500 0.8443  2 Cd 2.58, 1 Nd 2.84
S: 0.9154 0.7500 0.5738  1 Cd 2.48
S: 0.9369 0.2500 0.1560  1 Cd 2.55

Properties
uncorrected energy	-4.55	eV per atom
total magnetization	0.00	μB/f.u.
energy above the most stable polymorph in this dataset	0.000	eV per atom
theoretical density	4.2	g cm⁻³